(1)
Here is an optimized crystal structure of Tb3NdHoSc from Alexandria via LeMat-Bulk. Energies are from PBE.

abc: 5.6763 11.5019 11.4185
angles: 90.00 90.00 90.00
Last column: nearest neighbours and their distance in Å.
Space group Cmcm (No. 63)
Unique sites:
Tb 0.0000 0.1371 0.2500 x4  2 Nd 3.10, 2 Ho 3.26, 2 Tb 3.29
Tb 0.0000 0.3258 0.0332 x8  3 Tb 3.29-3.42, 2 Nd 3.41-3.64, 2 Ho 3.49
Nd 0.0000 0.4707 0.7500 x4  4 Tb 3.10-3.41, 1 Sc 3.45
Ho 0.0000 0.0000 0.0000 x4  6 Tb 3.26-3.49, 2 Sc 3.46
Sc 0.0000 0.1706 0.7500 x4  3 Nd 3.45-3.65, 2 Ho 3.46, 9 Tb 3.54-3.77

## Properties
Energy of formation from the pure elements: 0.15 eV/atom
Crystal system: orthorhombic



(2)
Here is an optimized crystal structure of Tb6NdHo3Sc2 from Alexandria via LeMat-Bulk. Energies are from PBE.

abc: 6.1385 10.6321 11.1175
angles: 90.00 100.61 90.00
Last column: nearest neighbours and their distance in Å.
Space group C2/m (No. 12)
Unique sites:
Tb 0.2448 0.0000 0.2468 x4  2 Sc 3.38, 1 Nd 3.40, 3 Ho 3.43-3.45, 6 Tb 3.52-3.59
Tb 0.2487 0.1686 0.7532 x8  2 Sc 3.38, 1 Nd 3.40, 3 Ho 3.42-3.45, 6 Tb 3.52-3.59
Nd 0.0000 0.5000 0.0000 x2  6 Tb 3.40, 6 Sc 3.54-3.55
Ho 0.0000 0.0000 0.5000 x2  6 Tb 3.43-3.45, 6 Ho 3.54-3.55
Ho 0.0000 0.3328 0.5000 x4  6 Tb 3.42-3.45, 6 Ho 3.54-3.56
Sc 0.0000 0.1666 0.0000 x4  6 Tb 3.38, 3 Sc 3.54-3.55, 3 Nd 3.54-3.55

## Properties
Energy of formation from the pure elements: 0.05 eV/atom
Crystal system: monoclinic



(3)
Here is an optimized crystal structure of Tb2Nd2HoSc from Alexandria via LeMat-Bulk. Energies are from PBE.

abc: 6.8982 5.6097 9.7170
angles: 90.00 90.00 90.00
Last column: nearest neighbours and their distance in Å.
Space group Pmma (No. 51)
Unique sites:
Tb 0.2500 0.0000 0.1647 x2  2 Ho 3.32, 7 Nd 3.41-3.66, 2 Sc 3.69
Tb 0.2500 0.5000 0.6671 x2  3 Ho 3.11-3.45, 2 Nd 3.15
Nd 0.0000 0.5000 0.0000 x2  6 Nd 3.45-3.76, 6 Tb 3.66-3.67, 2 Ho 3.79
Nd 0.2500 0.0000 0.8141 x2  5 Tb 3.15-3.46, 2 Sc 3.51
Ho 0.2500 0.5000 0.3469 x2  5 Tb 3.11-3.45
Sc 0.0000 0.0000 0.5000 x2  2 Sc 3.45, 2 Nd 3.51, 4 Ho 3.61, 6 Tb 3.67-3.69

## Properties
Energy of formation from the pure elements: 0.09 eV/atom
Crystal system: orthorhombic



(4)
Here is an optimized crystal structure of Tb5NdHoSc2 from Alexandria via LeMat-Bulk. Energies are from PBE.

abc: 5.6034 21.5168 9.3609
angles: 90.00 90.00 90.00
Last column: nearest neighbours and their distance in Å.
Space group Cmc2_1 (No. 36)
Unique sites:
Tb 0.0000 0.0086 0.0000 x4  1 Sc 3.20, 2 Nd 3.54, 2 Tb 3.57
Tb 0.0000 0.2657 0.3131 x4  1 Nd 3.03, 1 Sc 3.27, 2 Tb 3.37, 1 Ho 3.38
Tb 0.0000 0.3063 0.7014 x4  5 Tb 3.37-3.74, 2 Ho 3.38, 3 Sc 3.43-3.56, 1 Nd 3.51
Tb 0.0000 0.3906 0.0236 x4  3 Tb 3.22-3.59, 4 Sc 3.22-3.47, 1 Nd 3.51
Tb 0.0000 0.4685 0.7296 x4  2 Nd 3.20-3.43, 4 Tb 3.22-3.57, 2 Sc 3.39
Nd 0.0000 0.4017 0.3972 x4  2 Tb 3.03-3.20
Ho 0.0000 0.1882 0.9995 x4  2 Sc 3.18-3.28, 5 Tb 3.38-3.45, 2 Nd 3.54
Sc 0.0000 0.1136 0.3052 x4  8 Tb 3.20-3.47, 1 Ho 3.28, 1 Sc 3.53
Sc 0.0000 0.1414 0.6769 x4  1 Ho 3.18, 3 Tb 3.22-3.56, 1 Sc 3.53

## Properties
Energy of formation from the pure elements: 0.17 eV/atom
Crystal system: orthorhombic



(5)
Here is an optimized crystal structure of Tb5NdHo2Sc from Alexandria via LeMat-Bulk. Energies are from PBE.

abc: 5.5774 19.7772 10.3952
angles: 90.00 90.00 90.00
Last column: nearest neighbours and their distance in Å.
Space group Cmc2_1 (No. 36)
Unique sites:
Tb 0.0000 0.0184 0.0000 x4  2 Nd 3.18, 3 Ho 3.34-3.50, 1 Sc 3.51
Tb 0.0000 0.2769 0.3028 x4  1 Nd 3.02, 1 Ho 3.26
Tb 0.0000 0.2983 0.6869 x4  4 Tb 3.38-3.64, 2 Sc 3.42, 1 Nd 3.46, 3 Ho 3.49-3.66
Tb 0.0000 0.3762 0.0014 x4  4 Ho 3.53-3.58, 1 Sc 3.57, 4 Tb 3.58-3.70
Tb 0.0000 0.4814 0.7208 x4  2 Nd 3.06-3.26
Nd 0.0000 0.4126 0.4354 x4  5 Tb 3.02-3.26
Ho 0.0000 0.1119 0.2952 x4  9 Tb 3.26-3.58, 1 Sc 3.53
Ho 0.0000 0.1141 0.7166 x4  1 Sc 3.32, 7 Tb 3.45-3.66, 2 Nd 3.64
Sc 0.0000 0.1958 0.9960 x4  2 Ho 3.32-3.53, 7 Tb 3.42-3.57, 2 Nd 3.57

## Properties
Energy of formation from the pure elements: 0.17 eV/atom
Crystal system: orthorhombic



(6)
Here is an optimized crystal structure of TbNdHo2Sc from Alexandria via LeMat-Bulk. Energies are from PBE.

abc: 8.1962 11.2616 7.0875
angles: 90.00 90.00 90.00
Last column: nearest neighbours and their distance in Å.
Space group Cmcm (No. 63)
Unique sites:
Tb 0.0000 0.2341 0.2500 x4  1 Sc 3.05
Nd 0.0000 0.2301 0.7500 x4  1 Sc 2.99
Ho 0.1970 0.0000 0.0000 x8  2 Sc 3.05, 1 Ho 3.23
Sc 0.0000 0.4953 0.7500 x4  1 Nd 2.99, 1 Tb 3.05, 4 Ho 3.05

## Properties
Energy of formation from the pure elements: 0.33 eV/atom
Crystal system: orthorhombic



(7)
Here is an optimized crystal structure of Tb2NdHoSc from Alexandria via LeMat-Bulk. Energies are from PBE.

abc: 6.3681 15.9410 6.3638
angles: 90.00 90.00 90.00
Last column: nearest neighbours and their distance in Å.
Space group Cmcm (No. 63)
Unique sites:
Tb 0.2483 0.0000 0.0000 x8  4 Tb 3.16-3.21, 2 Sc 3.32, 2 Nd 3.44
Nd 0.0000 0.3376 0.2500 x4  1 Sc 2.94
Ho 0.0000 0.2486 0.7500 x4  4 Nd 3.47-3.48, 4 Sc 3.52-3.55
Sc 0.0000 0.1535 0.2500 x4  1 Nd 2.94

## Properties
Energy of formation from the pure elements: 0.36 eV/atom
Crystal system: orthorhombic



(8)
Here is an optimized crystal structure of TbNdHo5Sc2 from Alexandria via LeMat-Bulk. Energies are from PBE.

abc: 5.5749 21.3824 9.3325
angles: 90.00 90.00 90.00
Last column: nearest neighbours and their distance in Å.
Space group Cmc2_1 (No. 36)
Unique sites:
Tb 0.0000 0.1886 0.0000 x4  2 Sc 3.19-3.27, 5 Ho 3.36-3.42, 2 Nd 3.54
Nd 0.0000 0.4026 0.3966 x4  2 Ho 3.04-3.16
Ho 0.0000 0.0079 0.0022 x4  1 Sc 3.18, 2 Nd 3.52, 2 Ho 3.54
Ho 0.0000 0.2651 0.3153 x4  1 Nd 3.04, 1 Sc 3.25, 2 Ho 3.36, 1 Tb 3.37
Ho 0.0000 0.3072 0.7016 x4  5 Ho 3.36-3.72, 2 Tb 3.36, 3 Sc 3.41-3.53, 1 Nd 3.50
Ho 0.0000 0.3906 0.0234 x4  4 Sc 3.21-3.45, 3 Ho 3.21-3.57, 1 Nd 3.49
Ho 0.0000 0.4687 0.7292 x4  2 Nd 3.16-3.41, 4 Ho 3.21-3.54, 2 Sc 3.37
Sc 0.0000 0.1132 0.3049 x4  8 Ho 3.18-3.45, 1 Tb 3.27, 1 Sc 3.51
Sc 0.0000 0.1425 0.6750 x4  1 Tb 3.19, 3 Ho 3.21-3.53, 1 Sc 3.51

## Properties
Energy of formation from the pure elements: 0.17 eV/atom
Crystal system: orthorhombic



(9)
Here is an optimized crystal structure of TbNd6HoSc2 from Alexandria via LeMat-Bulk. Energies are from PBE.

abc: 9.1105 15.0633 9.5824
angles: 90.00 98.43 90.00
Last column: nearest neighbours and their distance in Å.
Space group C2/c (No. 15)
Unique sites:
Tb 0.0000 0.0289 0.2500 x4  4 Sc 3.37-3.38, 6 Nd 3.55-3.74
Nd 0.0644 0.1735 0.9474 x8  2 Sc 3.40-3.79, 7 Nd 3.40-3.79, 2 Tb 3.59-3.74
Nd 0.0973 0.3972 0.1180 x8  3 Sc 3.23-3.40, 3 Nd 3.29-3.40, 2 Ho 3.36-3.51
Nd 0.2149 0.2249 0.3161 x8  4 Nd 3.30-3.68, 1 Ho 3.42, 2 Sc 3.46-3.65, 1 Tb 3.55
Ho 0.0000 0.4086 0.7500 x4  6 Nd 3.36-3.51, 2 Sc 3.49
Sc 0.2463 0.0484 0.5489 x8  5 Nd 3.23-3.46, 2 Tb 3.37-3.38, 1 Ho 3.49

## Properties
Energy of formation from the pure elements: 0.12 eV/atom
Crystal system: monoclinic



(10)
Here is an optimized crystal structure of Tb2Nd3Ho6Sc from Alexandria via LeMat-Bulk. Energies are from PBE.

abc: 6.1532 10.6545 11.7399
angles: 90.00 100.04 90.00
Last column: nearest neighbours and their distance in Å.
Space group C2/m (No. 12)
Unique sites:
Tb 0.0000 0.1664 0.0000 x4  6 Ho 3.49-3.50, 3 Tb 3.55-3.56, 3 Sc 3.55
Nd 0.0000 0.0000 0.5000 x2  6 Nd 3.55, 6 Ho 3.59-3.60
Nd 0.0000 0.3335 0.5000 x4  6 Nd 3.55, 6 Ho 3.59-3.61
Ho 0.2463 0.3346 0.2443 x8  1 Sc 3.48, 2 Tb 3.50, 6 Ho 3.52-3.57, 3 Nd 3.59-3.61
Ho 0.2502 0.0000 0.2445 x4  1 Sc 3.48, 2 Tb 3.49, 6 Ho 3.52-3.57, 3 Nd 3.59-3.60
Sc 0.0000 0.5000 0.0000 x2  6 Ho 3.48, 6 Tb 3.55

## Properties
Energy of formation from the pure elements: 0.03 eV/atom
Crystal system: monoclinic



(11)
Here is an optimized crystal structure of NdHo2ScTe6 from Alexandria via LeMat-Bulk. Energies are from PBE.

abc: 7.6461 7.6461 20.9348
angles: 90.00 90.00 120.00
Last column: nearest neighbours and their distance in Å.
Space group R3 (No. 146, hexagonal axes)
Unique sites:
Nd 0.0000 0.0000 0.0000 x3  6 Te 3.13-3.20
Ho 0.0000 0.0000 0.1858 x3  6 Te 3.04-3.10
Ho 0.0000 0.0000 0.6893 x3  6 Te 3.07-3.09
Sc 0.0000 0.0000 0.5041 x3  6 Te 2.96-2.97
Te 0.0032 0.3482 0.7635 x9  1 Sc 2.96, 2 Ho 3.07-3.10, 1 Nd 3.20
Te 0.0339 0.6754 0.2589 x9  1 Sc 2.97, 2 Ho 3.04-3.09, 1 Nd 3.13

## Properties
Uncorrected formation energy: -1.31 eV/atom
Crystal system: trigonal



(12)
Here is an optimized crystal structure of NdHo2ScTe4 from Alexandria via LeMat-Bulk. Energies are from PBE.

abc: 7.5157 4.2923 7.5950
angles: 90.00 108.85 90.00
Last column: nearest neighbours and their distance in Å.
Space group P2/m (No. 10)
Unique sites:
Nd 0.0000 0.0000 0.0000 x1  6 Te 3.13
Ho 0.5000 0.0000 0.5000 x1  6 Te 3.02
Ho 0.5000 0.5000 0.0000 x1  6 Te 3.12
Sc 0.0000 0.5000 0.5000 x1  6 Te 3.02
Te 0.2463 0.0000 0.7376 x2  3 Ho 3.02-3.12, 2 Sc 3.02, 1 Nd 3.13
Te 0.2547 0.5000 0.2628 x2  3 Ho 3.02-3.12, 1 Sc 3.02, 2 Nd 3.13

## Properties
Uncorrected formation energy: -1.24 eV/atom
Crystal system: monoclinic